Computed, not measured: an optimized crystal structure of La2CdFeSi at the GGA-PBE level of DFT.

CIF file:
```
data_La2CdFeSi
_chemical_formula_sum 'La2 Cd1 Fe1 Si1'
_symmetry_space_group_name_H-M 'P 4/m m m'
_symmetry_Int_Tables_number 123
_symmetry_space_group_name_Hall '-P 4 2'
_cell_length_a 5.3373
_cell_length_b 5.3373
_cell_length_c 4.4574
_cell_angle_alpha 90.00
_cell_angle_beta 90.00
_cell_angle_gamma 90.00
loop_
_atom_site_label
_atom_site_fract_x
_atom_site_fract_y
_atom_site_fract_z
La1 0.0000 0.5000 0.0000
Cd1 0.0000 0.0000 0.5000
Fe1 0.5000 0.5000 0.0000
Si1 0.5000 0.5000 0.5000
```

E above lowest polymorph ... 0.00 eV/f.u.
Uncorrected energy ... -26.03 eV per cell
Formation energy from raw total energies ... -274 meV per atom
DOS at the Fermi energy ... 4.68 states/eV/f.u.

Computed, not measured: an optimized crystal structure of La2CdFeSi at the GGA-PBE level of DFT.

CIF file:
```
data_La2CdFeSi
_chemical_formula_sum 'La2 Cd1 Fe1 Si1'
_symmetry_space_group_name_H-M 'P 4/m m m'
_symmetry_Int_Tables_number 123
_symmetry_space_group_name_Hall '-P 4 2'
_cell_length_a 5.7616
_cell_length_b 5.7616
_cell_length_c 4.3189
_cell_angle_alpha 90.00
_cell_angle_beta 90.00
_cell_angle_gamma 90.00
loop_
_atom_site_label
_atom_site_fract_x
_atom_site_fract_y
_atom_site_fract_z
La1 0.0000 0.5000 0.0000
Cd1 0.0000 0.0000 0.5000
Fe1 0.5000 0.5000 0.5000
Si1 0.5000 0.5000 0.0000
```

E above lowest polymorph ... 1.28 eV/f.u.
Uncorrected energy ... -24.75 eV per cell
Formation energy from raw total energies ... -19 meV per atom
DOS at the Fermi energy ... 7.73 states/eV/f.u.

Computed, not measured: an optimized crystal structure of La2CdFeSn at the GGA-PBE level of DFT.

CIF file:
```
data_La2CdFeSn
_chemical_formula_sum 'La2 Cd1 Fe1 Sn1'
_symmetry_space_group_name_H-M 'P 4/m m m'
_symmetry_Int_Tables_number 123
_symmetry_space_group_name_Hall '-P 4 2'
_cell_length_a 5.2577
_cell_length_b 5.2577
_cell_length_c 4.9844
_cell_angle_alpha 90.00
_cell_angle_beta 90.00
_cell_angle_gamma 90.00
loop_
_atom_site_label
_atom_site_fract_x
_atom_site_fract_y
_atom_site_fract_z
La1 0.0000 0.5000 0.0000
Cd1 0.0000 0.0000 0.5000
Fe1 0.5000 0.5000 0.0000
Sn1 0.5000 0.5000 0.5000
```

Uncorrected energy ... -24.62 eV per cell
Energy of formation from the pure elements ... -0.276 eV/atom
DOS at the Fermi energy ... 6.09 states/eV/f.u.

Computed, not measured: an optimized crystal structure of La2TlCdFe at the GGA-PBE level of DFT.

CIF file:
```
data_La2TlCdFe
_chemical_formula_sum 'La2 Tl1 Cd1 Fe1'
_symmetry_space_group_name_H-M 'P 4/m m m'
_symmetry_Int_Tables_number 123
_symmetry_space_group_name_Hall '-P 4 2'
_cell_length_a 5.1848
_cell_length_b 5.1848
_cell_length_c 5.1822
_cell_angle_alpha 90.00
_cell_angle_beta 90.00
_cell_angle_gamma 90.00
loop_
_atom_site_label
_atom_site_fract_x
_atom_site_fract_y
_atom_site_fract_z
La1 0.0000 0.5000 0.0000
Tl1 0.0000 0.0000 0.5000
Cd1 0.5000 0.5000 0.5000
Fe1 0.0000 0.0000 0.0000
```

E above lowest polymorph ... 0.00 eV/f.u.
Uncorrected energy ... -22.31 eV per cell
Energy of formation from the pure elements ... -0.142 eV/atom
DOS at the Fermi energy ... 4.80 states/eV/f.u.

Computed, not measured: an optimized crystal structure of La2TlCdFe at the GGA-PBE level of DFT.

CIF file:
```
data_La2TlCdFe
_chemical_formula_sum 'La2 Tl1 Cd1 Fe1'
_symmetry_space_group_name_H-M 'P 4/m m m'
_symmetry_Int_Tables_number 123
_symmetry_space_group_name_Hall '-P 4 2'
_cell_length_a 5.0992
_cell_length_b 5.0992
_cell_length_c 5.2350
_cell_angle_alpha 90.00
_cell_angle_beta 90.00
_cell_angle_gamma 90.00
loop_
_atom_site_label
_atom_site_fract_x
_atom_site_fract_y
_atom_site_fract_z
La1 0.0000 0.5000 0.0000
Tl1 0.0000 0.0000 0.5000
Cd1 0.5000 0.5000 0.5000
Fe1 0.5000 0.5000 0.0000
```

E above lowest polymorph ... 0.06 eV/f.u.
Uncorrected energy ... -22.25 eV per cell
Energy of formation from the pure elements ... -0.131 eV/atom
DOS at the Fermi energy ... 5.18 states/eV/f.u.

Computed, not measured: an optimized crystal structure of LaCdFe2W at the GGA-PBE level of DFT.

CIF file:
```
data_LaCdFe2W
_chemical_formula_sum 'La1 Cd1 Fe2 W1'
_symmetry_space_group_name_H-M 'P 4/m m m'
_symmetry_Int_Tables_number 123
_symmetry_space_group_name_Hall '-P 4 2'
_cell_length_a 4.5466
_cell_length_b 4.5466
_cell_length_c 5.2449
_cell_angle_alpha 90.00
_cell_angle_beta 90.00
_cell_angle_gamma 90.00
loop_
_atom_site_label
_atom_site_fract_x
_atom_site_fract_y
_atom_site_fract_z
La1 0.0000 0.0000 0.0000
Cd1 0.5000 0.5000 0.0000
Fe1 0.0000 0.5000 0.5000
W1 0.5000 0.5000 0.5000
```

Uncorrected energy ... -31.32 eV per cell
Energy of formation from the pure elements ... 0.881 eV/atom
DOS at the Fermi energy ... 7.25 states/eV/f.u.